Compound: Pm3Fe5O12
Source: Alexandria
Functional: PBE with a Hubbard U
Structure: relaxed

a b c (Å): 10.913 10.913 10.913
angles (deg): 109.47 109.47 109.47
Sites, in units of the cell vectors:
Pm 0.125 0.250 0.375
Pm 0.125 0.375 0.750
Pm 0.250 0.375 0.125
Pm 0.250 0.875 0.625
Pm 0.375 0.125 0.250
Pm 0.375 0.750 0.125
Pm 0.625 0.250 0.875
Pm 0.625 0.875 0.750
Pm 0.750 0.125 0.375
Pm 0.750 0.625 0.875
Pm 0.875 0.625 0.250
Pm 0.875 0.750 0.625
Fe 0.000 0.000 0.000
Fe 0.000 0.000 0.500
Fe 0.000 0.500 0.000
Fe 0.000 0.500 0.500
Fe 0.125 0.750 0.875
Fe 0.125 0.875 0.250
Fe 0.250 0.125 0.875
Fe 0.250 0.625 0.375
Fe 0.375 0.250 0.625
Fe 0.375 0.625 0.750
Fe 0.500 0.000 0.000
Fe 0.500 0.000 0.500
Fe 0.500 0.500 0.000
Fe 0.500 0.500 0.500
Fe 0.625 0.375 0.250
Fe 0.625 0.750 0.375
Fe 0.750 0.375 0.625
Fe 0.750 0.875 0.125
Fe 0.875 0.125 0.750
Fe 0.875 0.250 0.125
O 0.025 0.200 0.120
O 0.025 0.325 0.906
O 0.081 0.700 0.675
O 0.081 0.880 0.406
O 0.094 0.620 0.419
O 0.094 0.975 0.675
O 0.120 0.025 0.200
O 0.120 0.594 0.919
O 0.175 0.200 0.581
O 0.175 0.475 0.594
O 0.200 0.120 0.025
O 0.200 0.581 0.175
O 0.300 0.325 0.919
O 0.300 0.475 0.380
O 0.325 0.906 0.025
O 0.325 0.919 0.300
O 0.380 0.300 0.475
O 0.380 0.581 0.906
O 0.406 0.081 0.880
O 0.406 0.825 0.525
O 0.419 0.094 0.620
O 0.419 0.825 0.800
O 0.475 0.380 0.300
O 0.475 0.594 0.175
O 0.525 0.406 0.825
O 0.525 0.620 0.700
O 0.581 0.175 0.200
O 0.581 0.906 0.380
O 0.594 0.175 0.475
O 0.594 0.919 0.120
O 0.620 0.419 0.094
O 0.620 0.700 0.525
O 0.675 0.081 0.700
O 0.675 0.094 0.975
O 0.700 0.525 0.620
O 0.700 0.675 0.081
O 0.800 0.419 0.825
O 0.800 0.880 0.975
O 0.825 0.525 0.406
O 0.825 0.800 0.419
O 0.880 0.406 0.081
O 0.880 0.975 0.800
O 0.906 0.025 0.325
O 0.906 0.380 0.581
O 0.919 0.120 0.594
O 0.919 0.300 0.325
O 0.975 0.675 0.094
O 0.975 0.800 0.880

Properties
E = -7.09 eV/atom
calculated volume = 12.50 Å³/atom
space-group type = Ia-3d (230)